[1]
NaOsPb3: relaxed, PBE.

abc: 5.3714 5.3714 5.3714
angles: 90.00 90.00 90.00
Last column: nearest neighbours and their distance in Å.
Element x y z (fractional)
Pb1 0.0000 0.5000 0.0000  2 Os 2.69
Pb2 0.0000 0.0000 0.5000  2 Os 2.69
Pb3 0.5000 0.0000 0.0000  2 Os 2.69
Na1 0.5000 0.5000 0.5000  12 Pb 3.80
Os1 0.0000 0.0000 0.0000  6 Pb 2.69

Computed properties:
The space group is Pm-3m. The excess energy over the best structure of this formula in the dataset is 0.0000 eV per atom. The calculation puts the energy of formation from the pure elements at 457 meV/atom. The crystal system is cubic.

=====

[2]
CsDyS2: relaxed, PBE.

abc: 8.4043 8.4043 8.4043
angles: 28.29 28.29 28.29
Last column: nearest neighbours and their distance in Å.
Element x y z (fractional)
Cs1 0.0000 0.0000 0.0000  6 S 3.50
S1 0.7729 0.7729 0.7729  3 Dy 2.79
S2 0.2271 0.2271 0.2271  3 Dy 2.79
Dy1 0.5000 0.5000 0.5000  6 S 2.79

Computed properties:
The space group is R-3m. The crystal system is trigonal. The uncorrected formation energy comes out at -1.83 eV per atom.

=====

[3]
BeAlRh3: relaxed, PBE.

abc: 4.3996 4.3996 4.3996
angles: 90.00 90.00 90.00
Last column: nearest neighbours and their distance in Å.
Element x y z (fractional)
Be1 0.5000 0.5000 0.5000  12 Rh 3.11
Rh1 0.0000 0.5000 0.0000  2 Al 2.20
Rh2 0.0000 0.0000 0.5000  2 Al 2.20
Rh3 0.5000 0.0000 0.0000  2 Al 2.20
Al1 0.0000 0.0000 0.0000  6 Rh 2.20

Computed properties:
The space group is Pm-3m. The excess energy over the best structure of this formula in the dataset is 0.9472 eV per atom. The calculation puts the energy of formation from the pure elements at 758 meV/atom. The crystal system is cubic.

=====

[4]
AcTl2PbSe4: relaxed, PBE.

abc: 4.4868 7.8437 7.7653
angles: 70.09 90.00 90.00
Last column: nearest neighbours and their distance in Å.
Element x y z (fractional)
Ac1 0.0000 0.5000 0.5000  6 Se 3.09-3.11
Tl1 0.0000 0.0000 0.0000  6 Se 3.26-3.28
Tl2 0.5000 0.0000 0.5000  6 Se 3.23-3.28
Pb1 0.5000 0.5000 0.0000  6 Se 3.11
Se1 0.0000 0.7348 0.7527  2 Pb 3.11, 1 Ac 3.11, 3 Tl 3.23-3.28
Se2 0.0000 0.2652 0.2473  2 Pb 3.11, 1 Ac 3.11, 3 Tl 3.23-3.28
Se3 0.5000 0.7306 0.2566  2 Ac 3.09, 1 Pb 3.11, 3 Tl 3.26-3.28
Se4 0.5000 0.2694 0.7434  2 Ac 3.09, 1 Pb 3.11, 3 Tl 3.26-3.28

Computed properties:
The space group is P2/m. The crystal system is monoclinic. The uncorrected formation energy comes out at -0.89 eV per atom.

=====

[5]
CsKBi2Au: relaxed, PBE.

abc: 5.7628 5.7628 6.2161
angles: 90.00 90.00 90.00
Last column: nearest neighbours and their distance in Å.
Element x y z (fractional)
Cs1 0.5000 0.5000 0.5000  4 K 4.07, 8 Bi 4.24
K1 0.0000 0.0000 0.5000  2 Au 3.11
Au1 0.0000 0.0000 0.0000  4 Bi 2.88, 2 K 3.11
Bi1 0.0000 0.5000 0.0000  2 Au 2.88
Bi2 0.5000 0.0000 0.0000  2 Au 2.88

Computed properties:
The space group is P4/mmm. The calculation puts the energy of formation from the pure elements at -166 meV/atom. The crystal system is tetragonal.

=====

[6]
CdFe2Au: relaxed, PBE.

abc: 4.9440 4.9440 4.8059
angles: 78.78 78.78 33.76
Last column: nearest neighbours and their distance in Å.
Element x y z (fractional)
Au1 0.2500 0.2500 0.2500  6 Fe 2.76-2.81, 4 Cd 2.80, 2 Au 2.87
Cd1 0.7500 0.7500 0.7500  4 Au 2.80, 2 Cd 2.87, 6 Fe 2.88-2.93
Fe1 0.9967 0.9967 0.0315  2 Fe 2.56, 3 Au 2.76-2.81
Fe2 0.5033 0.5033 0.4685  2 Fe 2.56, 3 Au 2.76-2.81

Computed properties:
The space group is C2/m. The calculation puts the energy of formation from the pure elements at 285 meV/atom. The crystal system is monoclinic.

=====

[7]
Nd6SmEr: relaxed, PBE.

abc: 6.3234 6.3234 8.1811
angles: 105.12 105.12 109.12
Last column: nearest neighbours and their distance in Å.
Element x y z (fractional)
Nd1 0.6234 0.1235 0.2471  8 Nd 3.61-3.69, 2 Sm 3.64, 2 Er 3.64
Nd2 0.8765 0.3766 0.7529  8 Nd 3.61-3.69, 2 Sm 3.64, 2 Er 3.64
Nd3 0.2509 0.2509 0.5016  1 Er 3.64, 10 Nd 3.65-3.67, 1 Sm 3.66
Nd4 0.1235 0.6234 0.2471  8 Nd 3.61-3.69, 2 Sm 3.64, 2 Er 3.64
Nd5 0.3766 0.8765 0.7529  8 Nd 3.61-3.69, 2 Sm 3.64, 2 Er 3.64
Nd6 0.7491 0.7491 0.4984  1 Er 3.64, 10 Nd 3.65-3.67, 1 Sm 3.66
Sm1 0.0000 0.0000 0.0000  10 Nd 3.64-3.66, 2 Er 3.67
Er1 0.5000 0.5000 0.0000  10 Nd 3.64, 2 Sm 3.67

Computed properties:
The space group is C2/m. The calculation puts the energy of formation from the pure elements at 16 meV/atom. The crystal system is monoclinic.

=====

[8]
SrSbAs2O8: relaxed, PBE.

abc: 5.0146 5.0146 8.5420
angles: 72.93 72.93 60.00
Last column: nearest neighbours and their distance in Å.
Element x y z (fractional)
Sr1 0.0000 0.0000 0.0000  12 O 2.92-3.13
Sb1 0.5000 0.5000 0.5000  6 O 2.16
As1 0.7529 0.7529 0.7412  4 O 1.70-1.74
As2 0.2471 0.2471 0.2588  4 O 1.70-1.74
O1 0.6826 0.6826 0.9521  1 As 1.70
O2 0.3174 0.3174 0.0479  1 As 1.70
O3 0.5490 0.2345 0.3259  1 As 1.74
O4 0.7655 0.4510 0.6741  1 As 1.74
O5 0.1095 0.7655 0.6741  1 As 1.74
O6 0.2345 0.8905 0.3259  1 As 1.74
O7 0.8905 0.5490 0.3259  1 As 1.74
O8 0.4510 0.1095 0.6741  1 As 1.74

Computed properties:
The space group is R32. The crystal system is trigonal. The uncorrected formation energy comes out at -1.47 eV per atom.

=====

[9]
CdBi2F: relaxed, PBE.

abc: 4.5959 4.5959 10.6446
angles: 77.53 77.53 90.00
Last column: nearest neighbours and their distance in Å.
Element x y z (fractional)
F1 0.5000 0.5000 0.0000  4 Bi 2.97, 4 Cd 3.25
F2 0.2500 0.7500 0.5000  4 Bi 2.97, 4 Cd 3.25
Bi1 0.5982 0.1250 0.2500  2 F 2.97, 2 Cd 3.06, 2 Bi 3.08
Bi2 0.1518 0.6250 0.2500  2 F 2.97, 2 Cd 3.06, 2 Bi 3.08
Bi3 0.3750 0.4018 0.7500  2 F 2.97, 2 Cd 3.06, 2 Bi 3.08
Bi4 0.8750 0.8482 0.7500  2 F 2.97, 2 Cd 3.06, 2 Bi 3.08
Cd1 0.0000 0.0000 0.0000  4 Bi 3.06, 4 F 3.25
Cd2 0.7500 0.2500 0.5000  4 Bi 3.06, 4 F 3.25

Computed properties:
The space group is I-42d. The excess energy over the best structure of this formula in the dataset is 0.1061 eV per atom. The crystal system is tetragonal. The uncorrected formation energy comes out at -0.45 eV per atom.

=====

[10]
Pr2NdSm2Y: relaxed, PBE.

abc: 5.7788 7.1513 9.9902
angles: 90.00 90.00 90.00
Last column: nearest neighbours and their distance in Å.
Element x y z (fractional)
Pr1 0.5000 0.0076 0.0002  6 Pr 3.58-3.81, 6 Sm 3.77-3.78, 2 Nd 3.82-3.83
Pr2 0.0000 0.2578 0.1733  5 Sm 3.30-3.58
Pr3 0.5000 0.5076 0.9998  6 Pr 3.58-3.81, 6 Sm 3.77-3.78, 2 Nd 3.82-3.83
Pr4 0.0000 0.7578 0.8267  5 Sm 3.30-3.58
Nd1 0.5000 0.2575 0.6614  5 Sm 3.29-3.58
Nd2 0.5000 0.7575 0.3386  5 Sm 3.29-3.58
Sm1 0.0000 0.2575 0.8346  2 Nd 3.37, 3 Pr 3.38-3.58
Sm2 0.5000 0.2578 0.3325  3 Nd 3.29-3.58, 2 Pr 3.30
Sm3 0.0000 0.7575 0.1654  2 Nd 3.37, 3 Pr 3.38-3.58
Sm4 0.5000 0.7578 0.6675  3 Nd 3.29-3.58, 2 Pr 3.30
Y1 0.0000 0.0075 0.4998  2 Y 3.58, 2 Pr 3.72, 4 Nd 3.76, 6 Sm 3.79
Y2 0.0000 0.5075 0.5002  2 Y 3.58, 2 Pr 3.72, 4 Nd 3.76, 6 Sm 3.79

Computed properties:
The space group is Pmma. The calculation puts the energy of formation from the pure elements at 51 meV/atom. The crystal system is orthorhombic.

=====

[11]
LiCd3N: relaxed, PBE.

abc: 4.6561 4.6561 4.6561
angles: 90.00 90.00 90.00
Last column: nearest neighbours and their distance in Å.
Element x y z (fractional)
N1 0.0000 0.0000 0.0000  6 Cd 2.33
Li1 0.5000 0.5000 0.5000  12 Cd 3.29
Cd1 0.0000 0.5000 0.0000  2 N 2.33
Cd2 0.0000 0.0000 0.5000  2 N 2.33
Cd3 0.5000 0.0000 0.0000  2 N 2.33

Computed properties:
The space group is Pm-3m. The excess energy over the best structure of this formula in the dataset is 0.0000 eV per atom. The crystal system is cubic. The uncorrected formation energy comes out at 0.45 eV per atom.

=====

[12]
Pa2HgCl8: relaxed, PBE.

abc: 8.0807 7.3877 7.3877
angles: 115.00 89.28 89.28
Last column: nearest neighbours and their distance in Å.
Element x y z (fractional)
Pa1 0.5675 0.6730 0.3168  7 Cl 2.53-2.83
Pa2 0.5675 0.3168 0.6730  7 Cl 2.53-2.83
Hg1 0.0568 0.0725 0.0725  7 Cl 3.86-4.08
Cl1 0.3984 0.9796 0.6389  2 Pa 2.77-2.82
Cl2 0.3984 0.6389 0.9796  2 Pa 2.77-2.82
Cl3 0.7287 0.6187 0.6187  2 Pa 2.77
Cl4 0.8662 0.2085 0.6682  1 Pa 2.53
Cl5 0.8662 0.6682 0.2085  1 Pa 2.53
Cl6 0.3535 0.4628 0.4628  2 Pa 2.83
Cl7 0.5986 0.2912 0.0359  2 Pa 2.71-2.78
Cl8 0.5986 0.0359 0.2912  2 Pa 2.71-2.78

Computed properties:
The space group is Cm. The crystal system is monoclinic. The uncorrected formation energy comes out at -1.63 eV per atom.

=====

So what do the calculations give for total moment? Going down the list: 0.209; 0.000; 0.223; 0.000; 0.000; 1.378; 0.000; 0.027; 0.000; 0.000; 0.000; 0.182 μB per atom.